# GGA+U V3O7, relaxed
# Calculated density (g/cm³): 3.6
# Offset from the most stable computed form (meV per atom): 23
# Total moment (μB per cell): 6.00
# E (eV for the cell shown): -452.3
data_V3O7
_space_group_name_H-M_alt 'I 4/m m m'
_space_group_IT_number 139
_space_group_name_Hall '-I 4 2'
_cell_length_a 14.153
_cell_length_b 14.153
_cell_length_c 3.659
_cell_angle_alpha 90.00
_cell_angle_beta 90.00
_cell_angle_gamma 90.00
loop_
_atom_site_label
_atom_site_fract_x
_atom_site_fract_y
_atom_site_fract_z
_atom_site_occupancy
V1 0.000 0.000 0.000 1
V2 0.000 0.365 0.000 1
V3 0.184 0.184 0.000 1
O1 0.000 0.000 0.500 1
O2 0.000 0.407 0.500 1
O3 0.093 0.292 0.000 1
O4 0.100 0.100 0.000 1
O5 0.208 0.208 0.500 1